The following is a PBE+U calculation of an optimized crystal structure of LaNdMo2O8, from Alexandria.

Geometry as CIF:
```
data_LaNdMo2O8
_cell_length_a 5.417
_cell_length_b 5.417
_cell_length_c 11.573
_cell_angle_alpha 90.00
_cell_angle_beta 90.00
_cell_angle_gamma 90.00
_space_group_name_H-M_alt 'I -4'
_space_group_IT_number 82
_space_group_name_Hall 'I -4'
loop_
_atom_site_label
_atom_site_fract_x
_atom_site_fract_y
_atom_site_fract_z
_atom_site_occupancy
La1 0.000 0.000 0.000 1
Nd1 0.000 0.500 0.250 1
Mo1 0.000 0.000 0.500 1
Mo2 0.000 0.500 0.750 1
O1 0.161 0.231 0.415 1
O2 0.174 0.759 0.839 1
```

## Properties
DFT total energy: -185.4 eV per cell
calculated volume: 14.1 A^3/atom
total moment: 4.000 Bohr magnetons per cell